Material: Y8Ho5Mg
Method: DFT, PBE
State: optimized geometry

Calculated values
Raw total energy = -5.217 eV/atom
Total magnetic moment = 0.00 μB/atom
Formation energy = 225 meV per atom
Fermi-level density of states = 1.42 states/eV/atom

a = 8.4133 Å, b = 8.4133 Å, c = 8.4133 Å
α = 110.53°, β = 110.53°, γ = 107.37°
Positions (direct):
Y: 0.1595 0.4278 0.0950
Y: 0.3328 0.0645 0.9050
Y: 0.4175 0.1612 0.3943
Y: 0.5722 0.6672 0.7316
Y: 0.7669 0.0232 0.6057
Y: 0.8388 0.2331 0.2563
Y: 0.9355 0.8405 0.2684
Y: 0.9768 0.5825 0.7437
Ho: 0.0000 0.0000 0.0000
Ho: 0.2135 0.3175 0.6881
Ho: 0.4746 0.7865 0.1041
Ho: 0.6295 0.5254 0.3119
Ho: 0.6825 0.3705 0.8959
Mg: 0.2500 0.7500 0.5000

=====

Material: Y12Ho3Mg
Method: DFT, PBE
State: optimized geometry

Calculated values
Raw total energy = -5.784 eV/atom
Total magnetic moment = 0.00 μB/atom
Formation energy = 22 meV per atom
Fermi-level density of states = 1.39 states/eV/atom

a = 5.0109 Å, b = 5.0109 Å, c = 20.1430 Å
α = 90.00°, β = 90.00°, γ = 90.00°
Positions (direct):
Y: 0.0000 0.0000 0.0000
Y: 0.0000 0.0000 0.2460
Y: 0.0000 0.0000 0.5000
Y: 0.0000 0.0000 0.7540
Y: 0.0000 0.5000 0.1233
Y: 0.0000 0.5000 0.3740
Y: 0.0000 0.5000 0.6260
Y: 0.0000 0.5000 0.8767
Y: 0.5000 0.0000 0.1233
Y: 0.5000 0.0000 0.3740
Y: 0.5000 0.0000 0.6260
Y: 0.5000 0.0000 0.8767
Ho: 0.5000 0.5000 0.2489
Ho: 0.5000 0.5000 0.5000
Ho: 0.5000 0.5000 0.7511
Mg: 0.5000 0.5000 0.0000

=====

Material: Y2Ho2Mg3
Method: DFT, PBE
State: optimized geometry

Calculated values
Raw total energy = -3.807 eV/atom
Total magnetic moment = 0.00 μB/atom
Formation energy = 31 meV per atom
Polymorph energy (0 for the lowest one) = 105 meV per atom
Fermi-level density of states = 1.40 states/eV/atom

a = 3.5116 Å, b = 7.1233 Å, c = 8.9617 Å
α = 68.60°, β = 78.81°, γ = 75.79°
Positions (direct):
Y: 0.1062 0.2370 0.0456
Y: 0.8938 0.7630 0.9544
Ho: 0.3684 0.4445 0.3183
Ho: 0.6316 0.5555 0.6817
Mg: 0.0000 0.0000 0.5000
Mg: 0.3237 0.1463 0.7103
Mg: 0.6763 0.8537 0.2897

=====

Material: Y8Ho2Mg
Method: DFT, PBE
State: optimized geometry

Calculated values
Raw total energy = -5.499 eV/atom
Total magnetic moment = 0.00 μB/atom
Formation energy = 180 meV per atom
Polymorph energy (0 for the lowest one) = 41 meV per atom
Fermi-level density of states = 1.67 states/eV/atom

a = 9.4482 Å, b = 9.4482 Å, c = 6.3906 Å
α = 108.84°, β = 108.84°, γ = 41.46°
Positions (direct):
Y: 0.0747 0.0747 0.2432
Y: 0.1579 0.6511 0.2811
Y: 0.2982 0.2982 0.6807
Y: 0.3489 0.8421 0.7189
Y: 0.6511 0.1579 0.2811
Y: 0.7018 0.7018 0.3193
Y: 0.8421 0.3489 0.7189
Y: 0.9253 0.9253 0.7568
Ho: 0.2308 0.2308 0.1135
Ho: 0.7692 0.7692 0.8865
Mg: 0.5000 0.5000 0.0000

=====

Material: Y2HoMg
Method: DFT, PBE
State: optimized geometry

Calculated values
Raw total energy = -4.808 eV/atom
Total magnetic moment = 0.00 μB/atom
Formation energy = -33 meV per atom
Polymorph energy (0 for the lowest one) = 0 meV per atom
Fermi-level density of states = 1.42 states/eV/atom

a = 3.6021 Å, b = 3.6021 Å, c = 9.1890 Å
α = 90.00°, β = 90.00°, γ = 90.00°
Positions (direct):
Y: 0.0000 0.0000 0.2344
Y: 0.0000 0.0000 0.7656
Ho: 0.5000 0.5000 0.5000
Mg: 0.5000 0.5000 0.0000

=====

Material: Y2HoMg
Method: DFT, PBE
State: optimized geometry

Calculated values
Raw total energy = -4.729 eV/atom
Total magnetic moment = 0.00 μB/atom
Formation energy = 46 meV per atom
Polymorph energy (0 for the lowest one) = 80 meV per atom
Fermi-level density of states = 1.36 states/eV/atom

a = 5.5095 Å, b = 5.5095 Å, c = 5.5095 Å
α = 60.00°, β = 60.00°, γ = 60.00°
Positions (direct):
Y: 0.2500 0.2500 0.2500
Y: 0.7500 0.7500 0.7500
Ho: 0.0000 0.0000 0.0000
Mg: 0.5000 0.5000 0.5000

=====

Material: Y6Ho5Mg2
Method: DFT, PBE
State: optimized geometry

Calculated values
Raw total energy = -4.856 eV/atom
Total magnetic moment = 0.00 μB/atom
Formation energy = 133 meV per atom
Fermi-level density of states = 1.93 states/eV/atom

a = 10.2959 Å, b = 22.5379 Å, c = 3.5460 Å
α = 90.00°, β = 90.00°, γ = 90.00°
Positions (direct):
Y: 0.0168 0.1125 0.0000
Y: 0.1455 0.3819 0.0000
Y: 0.1691 0.6343 0.5000
Y: 0.3309 0.1343 0.5000
Y: 0.3545 0.8819 0.0000
Y: 0.4832 0.6125 0.0000
Y: 0.5168 0.3875 0.0000
Y: 0.6455 0.1181 0.0000
Y: 0.6691 0.8657 0.5000
Y: 0.8309 0.3657 0.5000
Y: 0.8545 0.6181 0.0000
Y: 0.9832 0.8875 0.0000
Ho: 0.0000 0.5000 0.5000
Ho: 0.0777 0.2486 0.5000
Ho: 0.1667 0.9950 0.5000
Ho: 0.3333 0.4950 0.5000
Ho: 0.4223 0.7486 0.5000
Ho: 0.5000 0.0000 0.5000
Ho: 0.5777 0.2514 0.5000
Ho: 0.6667 0.5050 0.5000
Ho: 0.8333 0.0050 0.5000
Ho: 0.9223 0.7514 0.5000
Mg: 0.1719 0.7601 0.0000
Mg: 0.3281 0.2601 0.0000
Mg: 0.6719 0.7399 0.0000
Mg: 0.8281 0.2399 0.0000

=====

Material: Y2HoMg3
Method: DFT, PBE
State: optimized geometry

Calculated values
Raw total energy = -3.812 eV/atom
Total magnetic moment = 0.00 μB/atom
Formation energy = -97 meV per atom
Fermi-level density of states = 1.48 states/eV/atom

a = 3.8008 Å, b = 3.8008 Å, c = 11.3299 Å
α = 90.00°, β = 90.00°, γ = 90.00°
Positions (direct):
Y: 0.0000 0.0000 0.1678
Y: 0.0000 0.0000 0.8322
Ho: 0.0000 0.0000 0.5000
Mg: 0.5000 0.5000 0.0000
Mg: 0.5000 0.5000 0.3351
Mg: 0.5000 0.5000 0.6649

=====

Material: YHoMg5
Method: DFT, PBE
State: optimized geometry

Calculated values
Raw total energy = -2.615 eV/atom
Total magnetic moment = 0.00 μB/atom
Formation energy = 101 meV per atom
Fermi-level density of states = 0.68 states/eV/atom

a = 5.7986 Å, b = 5.7986 Å, c = 6.5559 Å
α = 100.83°, β = 100.83°, γ = 113.35°
Positions (direct):
Y: 0.0000 0.0000 0.0000
Ho: 0.5000 0.5000 0.5000
Mg: 0.0000 0.0000 0.5000
Mg: 0.0830 0.5078 0.7750
Mg: 0.4922 0.9170 0.2250
Mg: 0.5078 0.0830 0.7750
Mg: 0.9170 0.4922 0.2250

=====

Material: Y6Ho4Mg
Method: DFT, PBE
State: optimized geometry

Calculated values
Raw total energy = -5.068 eV/atom
Total magnetic moment = 0.00 μB/atom
Formation energy = 267 meV per atom
Fermi-level density of states = 1.28 states/eV/atom

a = 9.6893 Å, b = 9.6893 Å, c = 9.6893 Å
α = 140.99°, β = 140.99°, γ = 56.35°
Positions (direct):
Y: 0.0000 0.5000 0.5000
Y: 0.0122 0.6449 0.0000
Y: 0.3551 0.3551 0.3673
Y: 0.5000 0.0000 0.5000
Y: 0.6449 0.0122 0.0000
Y: 0.9878 0.9878 0.6327
Ho: 0.1920 0.1920 0.6504
Ho: 0.4584 0.8080 0.0000
Ho: 0.5416 0.5416 0.3496
Ho: 0.8080 0.4584 0.0000
Mg: 0.0000 0.0000 0.0000